# 1
{
  "formula": "La4ZrPt",
  "functional": "PBE",
  "state": "relaxed",
  "magmom_total_mub_per_fu": 1.060,
  "energy_ev_per_atom": -5.25,
  "lattice_angstrom": [[-2.582, -3.012, 4.872], [-6.167, 0.498, 1.090], [-3.773, -4.924, -0.993]],
  "species": ["Pt", "Zr", "La", "La", "La", "La"],
  "frac_coords": [[0.750, 0.750, 0.750], [0.000, 0.000, 0.000], [0.376, 0.873, 0.376], [0.873, 0.376, 0.376], [0.376, 0.376, 0.873], [0.376, 0.376, 0.376]]
}

# 2
{
  "formula": "La2ZrPt",
  "functional": "PBE",
  "state": "relaxed",
  "magmom_total_mub_per_fu": 0.000,
  "energy_ev_per_atom": -6.41,
  "lattice_angstrom": [[5.420, 0.002, 0.000], [-0.055, 5.420, 0.000], [0.000, 0.000, 3.544]],
  "species": ["Zr", "Pt", "La", "La"],
  "frac_coords": [[0.000, 0.500, 0.500], [0.500, 0.000, 0.500], [0.000, 0.000, 0.000], [0.500, 0.500, 0.000]]
}

# 3
{
  "formula": "La2ZrPt",
  "functional": "PBE",
  "state": "relaxed",
  "magmom_total_mub_per_fu": 2.470,
  "energy_ev_per_atom": -6.27,
  "lattice_angstrom": [[0.000, 3.742, 3.742], [3.742, 0.000, 3.742], [3.742, 3.742, 0.000]],
  "species": ["La", "La", "Zr", "Pt"],
  "frac_coords": [[0.750, 0.750, 0.750], [0.250, 0.250, 0.250], [0.000, 0.000, 0.000], [0.500, 0.500, 0.500]]
}

# 4
{
  "formula": "La2ZrPt",
  "functional": "PBE",
  "state": "relaxed",
  "magmom_total_mub_per_fu": 0.005,
  "energy_ev_per_atom": -6.34,
  "lattice_angstrom": [[-2.064, 3.008, -3.615], [2.082, 0.174, -4.692], [-2.470, -2.099, -3.985]],
  "species": ["La", "La", "Zr", "Pt"],
  "frac_coords": [[0.250, 0.250, 0.250], [0.000, 0.000, 0.000], [0.750, 0.750, 0.750], [0.500, 0.500, 0.500]]
}

# 5
{
  "formula": "LaZr2Pt",
  "functional": "PBE",
  "state": "relaxed",
  "magmom_total_mub_per_fu": 0.000,
  "energy_ev_per_atom": -7.29,
  "lattice_angstrom": [[4.672, 0.000, 0.000], [0.000, 3.553, -0.004], [0.000, 1.660, 5.712]],
  "species": ["Zr", "Zr", "Pt", "La"],
  "frac_coords": [[0.000, 0.946, 0.968], [0.000, 0.554, 0.532], [0.500, 0.750, 0.750], [0.500, 0.250, 0.250]]
}

# 6
{
  "formula": "LaZr2Pt",
  "functional": "PBE",
  "state": "relaxed",
  "magmom_total_mub_per_fu": 0.000,
  "energy_ev_per_atom": -7.42,
  "lattice_angstrom": [[-2.775, -1.440, -1.469], [1.403, -3.129, 0.415], [-3.407, -0.597, 7.019]],
  "species": ["La", "Zr", "Zr", "Pt"],
  "frac_coords": [[0.500, 0.500, 0.250], [0.000, 0.000, 0.551], [0.000, 0.000, 0.949], [0.500, 0.500, 0.750]]
}